Ce2Ga2Pb: optimized geometry, GGA-PBE.

a b c (Å): 4.2666 14.2487 4.1461
angles (deg): 90.00 90.00 90.00
Space group Cmmm (No. 65)
One atom of each set of equivalent atoms:
Ce 0.0000 0.1252 0.0000 [4 per cell]
Ga 0.0000 0.2959 0.5000 [4 per cell]
Pb 0.0000 0.5000 0.5000 [2 per cell]

Output
- D(E_F) (states/eV per cell) = 22.806
- calculated density (Mg/m³) = 8.260
- final energy (eV per atom) = -4.807

---

PrNd3DyEr: optimized geometry, GGA-PBE.

a b c (Å): 20.7018 5.8394 6.8290
angles (deg): 90.00 91.21 90.00
Space group C2/m (No. 12)
One atom of each set of equivalent atoms:
Pr 0.1476 0.0000 0.0260 [4 per cell]
Nd 0.0174 0.0000 0.7502 [4 per cell]
Nd 0.1594 0.5000 0.7541 [4 per cell]
Nd 0.2199 0.5000 0.2727 [4 per cell]
Dy 0.0589 0.5000 0.2671 [4 per cell]
Er 0.1416 0.0000 0.4783 [4 per cell]

Output
- D(E_F) (states/eV per cell) = 34.068
- calculated density (Mg/m³) = 7.270
- final energy (eV per atom) = -4.523

---

PmDyGeRu: optimized geometry, GGA-PBE.

a b c (Å): 3.8720 4.3078 11.0767
angles (deg): 90.00 90.00 90.00
Space group Amm2 (No. 38)
One atom of each set of equivalent atoms:
Pm 0.0000 0.0000 0.0000 [2 per cell]
Dy 0.5000 0.0000 0.7191 [2 per cell]
Ge 0.5000 0.0000 0.4160 [2 per cell]
Ru 0.0000 0.0000 0.2659 [2 per cell]

Output
- D(E_F) (states/eV per cell) = 3.828
- calculated density (Mg/m³) = 8.650
- final energy (eV per atom) = -6.402
- energy relative to the lowest polymorph listed for this composition (kJ/mol of atoms) = 0.0

---

BaMgSb2: optimized geometry, GGA-PBE.

a b c (Å): 4.1872 4.1872 7.5581
angles (deg): 90.00 90.00 90.00
Space group P4mm (No. 99)
One atom of each set of equivalent atoms:
Ba 0.0000 0.0000 0.0000 [1 per cell]
Mg 0.5000 0.5000 0.3184 [1 per cell]
Sb 0.0000 0.0000 0.5321 [1 per cell]
Sb 0.5000 0.5000 0.6944 [1 per cell]

Output
- D(E_F) (states/eV per cell) = 2.442
- ΔE_f (raw) (eV/atom) = -0.27
- calculated density (Mg/m³) = 5.077
- final energy (eV per atom) = -3.210

---

Nd2Dy2Ir3: optimized geometry, GGA-PBE.

a b c (Å): 4.4688 6.0179 7.5055
angles (deg): 98.40 90.07 111.76
Space group P-1 (No. 2)
One atom of each set of equivalent atoms:
Nd 0.1367 0.2720 0.3556 [2 per cell]
Dy 0.3602 0.7205 0.0623 [2 per cell]
Ir 0.0000 0.0000 0.0000 [1 per cell]
Ir 0.1902 0.3809 0.7377 [2 per cell]

Output
- D(E_F) (states/eV per cell) = 2.954
- calculated density (Mg/m³) = 10.676
- final energy (eV per atom) = -7.074
- energy relative to the lowest polymorph listed for this composition (kJ/mol of atoms) = 12.0

---

TbPr4Tl5: optimized geometry, GGA-PBE.

a b c (Å): 3.8613 3.8613 20.0213
angles (deg): 90.00 90.00 90.00
Space group P4/mmm (No. 123)
One atom of each set of equivalent atoms:
Tb 0.0000 0.0000 0.0000 [1 per cell]
Pr 0.0000 0.0000 0.1943 [2 per cell]
Pr 0.0000 0.0000 0.3982 [2 per cell]
Tl 0.5000 0.5000 0.0920 [2 per cell]
Tl 0.5000 0.5000 0.2958 [2 per cell]
Tl 0.5000 0.5000 0.5000 [1 per cell]

Output
- D(E_F) (states/eV per cell) = 8.543
- calculated density (Mg/m³) = 9.704
- final energy (eV per atom) = -3.946

---

TaTl3S4: optimized geometry, GGA-PBE.

a b c (Å): 9.5349 11.1276 9.6358
angles (deg): 90.00 90.00 90.00
Space group Pnma (No. 62)
One atom of each set of equivalent atoms:
Ta 0.2007 0.2500 0.0337 [4 per cell]
Tl 0.0686 0.2500 0.5995 [4 per cell]
Tl 0.0965 0.5543 0.8012 [8 per cell]
S 0.0131 0.7500 0.0708 [4 per cell]
S 0.1712 0.5839 0.4742 [8 per cell]
S 0.1768 0.2500 0.2713 [4 per cell]

Output
- D(E_F) (states/eV per cell) = 0.000
- ΔE_f (raw) (eV/atom) = -0.69
- calculated density (Mg/m³) = 5.992
- final energy (eV per atom) = -5.127

---

CoTcHg2: optimized geometry, GGA-PBE.

a b c (Å): 6.4990 6.4990 6.4990
angles (deg): 90.00 90.00 90.00
Space group F-43m (No. 216)
One atom of each set of equivalent atoms:
Co 0.0000 0.0000 0.0000 [4 per cell]
Tc 0.2500 0.2500 0.2500 [4 per cell]
Hg 0.0000 0.0000 0.5000 [4 per cell]
Hg 0.2500 0.2500 0.7500 [4 per cell]

Output
- D(E_F) (states/eV per cell) = 18.163
- calculated density (Mg/m³) = 13.505
- final energy (eV per atom) = -3.760
- energy relative to the lowest polymorph listed for this composition (kJ/mol of atoms) = 41.1